<one>
# HoSn2Ge

A relaxed HoSn2Ge crystal (PBE, Alexandria via LeMat-Bulk).

Geometry as CIF:
```
data_HoSn2Ge
_chemical_formula_sum 'Ho3 Sn6 Ge3'
_cell_length_a 5.0260
_cell_length_b 5.0260
_cell_length_c 22.1506
_cell_angle_alpha 90.00
_cell_angle_beta 90.00
_cell_angle_gamma 120.00
_space_group_name_H-M_alt 'R -3 m'
_space_group_IT_number 166
_space_group_name_Hall '-R 3 2"'
loop_
_atom_site_label
_atom_site_fract_x
_atom_site_fract_y
_atom_site_fract_z
Ho1 0.0000 0.0000 0.0000
Sn1 0.0000 0.0000 0.3846
Ge1 0.0000 0.0000 0.5000
```

Volume (Å³ per atom): 40.381
Density (kg/m3): 4883

=====

<two>
# HoSn2Ge

A relaxed HoSn2Ge crystal (PBE, Alexandria via LeMat-Bulk).

Geometry as CIF:
```
data_HoSn2Ge
_chemical_formula_sum 'Ho1 Sn2 Ge1'
_cell_length_a 4.498
_cell_length_b 4.498
_cell_length_c 4.756
_cell_angle_alpha 90.00
_cell_angle_beta 90.00
_cell_angle_gamma 90.00
_space_group_name_H-M_alt 'P 4/m m m'
_space_group_IT_number 123
_space_group_name_Hall '-P 4 2'
loop_
_atom_site_label
_atom_site_fract_x
_atom_site_fract_y
_atom_site_fract_z
Ho1 0.000 0.000 0.000
Sn1 0.000 0.500 0.500
Ge1 0.500 0.500 0.000
```

Volume (Å³ per atom): 24.056
Density (kg/m3): 8197

=====

Relative energies with respect to the most stable structure, expressed in meV/atom: <one> 793; <two> 0.

=====

<one>
# HoSnGe2

A relaxed HoSnGe2 crystal (PBE, Alexandria via LeMat-Bulk).

Geometry as CIF:
```
data_HoSnGe2
_chemical_formula_sum 'Ho1 Sn1 Ge2'
_cell_length_a 4.617
_cell_length_b 4.617
_cell_length_c 4.124
_cell_angle_alpha 90.00
_cell_angle_beta 90.00
_cell_angle_gamma 90.00
_space_group_name_H-M_alt 'P 4/m m m'
_space_group_IT_number 123
_space_group_name_Hall '-P 4 2'
loop_
_atom_site_label
_atom_site_fract_x
_atom_site_fract_y
_atom_site_fract_z
Ho1 0.000 0.000 0.000
Sn1 0.500 0.500 0.000
Ge1 0.000 0.500 0.500
```

Volume (Å³ per atom): 21.974
Density (kg/m3): 8103

=====

<two>
# HoSnGe2

A relaxed HoSnGe2 crystal (PBE, Alexandria via LeMat-Bulk).

Geometry as CIF:
```
data_HoSnGe2
_chemical_formula_sum 'Ho3 Sn3 Ge6'
_cell_length_a 4.6944
_cell_length_b 4.6944
_cell_length_c 21.5344
_cell_angle_alpha 90.00
_cell_angle_beta 90.00
_cell_angle_gamma 120.00
_space_group_name_H-M_alt 'R -3 m'
_space_group_IT_number 166
_space_group_name_Hall '-R 3 2"'
loop_
_atom_site_label
_atom_site_fract_x
_atom_site_fract_y
_atom_site_fract_z
Ho1 0.0000 0.0000 0.0000
Sn1 0.0000 0.0000 0.5000
Ge1 0.0000 0.0000 0.3812
```

Volume (Å³ per atom): 34.249
Density (kg/m3): 5199

=====

<three>
# HoSnGe2

A relaxed HoSnGe2 crystal (PBE, Alexandria via LeMat-Bulk).

Geometry as CIF:
```
data_HoSnGe2
_chemical_formula_sum 'Ho1 Sn1 Ge2'
_cell_length_a 3.881
_cell_length_b 3.881
_cell_length_c 6.107
_cell_angle_alpha 90.00
_cell_angle_beta 90.00
_cell_angle_gamma 90.00
_space_group_name_H-M_alt 'P 4/m m m'
_space_group_IT_number 123
_space_group_name_Hall '-P 4 2'
loop_
_atom_site_label
_atom_site_fract_x
_atom_site_fract_y
_atom_site_fract_z
Ho1 0.000 0.000 0.000
Sn1 0.000 0.000 0.500
Ge1 0.500 0.500 0.223
```

Volume (Å³ per atom): 22.992
Density (kg/m3): 7745

=====

Relative energies with respect to the most stable structure, expressed in meV/atom: <one> 0; <two> 635; <three> 95.

=====

<one>
# Tb2HoGe

A relaxed Tb2HoGe crystal (PBE, Alexandria via LeMat-Bulk).

Geometry as CIF:
```
data_Tb2HoGe
_chemical_formula_sum 'Tb6 Ho3 Ge3'
_cell_length_a 3.4761
_cell_length_b 3.4761
_cell_length_c 34.4925
_cell_angle_alpha 90.00
_cell_angle_beta 90.00
_cell_angle_gamma 120.00
_space_group_name_H-M_alt 'R -3 m'
_space_group_IT_number 166
_space_group_name_Hall '-R 3 2"'
loop_
_atom_site_label
_atom_site_fract_x
_atom_site_fract_y
_atom_site_fract_z
Tb1 0.0000 0.0000 0.0840
Ho1 0.0000 0.0000 0.5000
Ge1 0.0000 0.0000 0.0000
```

Volume (Å³ per atom): 30.079
Density (kg/m3): 7666

=====

<two>
# Tb2HoGe

A relaxed Tb2HoGe crystal (PBE, Alexandria via LeMat-Bulk).

Geometry as CIF:
```
data_Tb2HoGe
_chemical_formula_sum 'Tb2 Ho1 Ge1'
_cell_length_a 4.668
_cell_length_b 4.668
_cell_length_c 4.670
_cell_angle_alpha 90.00
_cell_angle_beta 90.00
_cell_angle_gamma 90.00
_space_group_name_H-M_alt 'P 4/m m m'
_space_group_IT_number 123
_space_group_name_Hall '-P 4 2'
loop_
_atom_site_label
_atom_site_fract_x
_atom_site_fract_y
_atom_site_fract_z
Tb1 0.000 0.500 0.000
Ho1 0.000 0.000 0.500
Ge1 0.500 0.500 0.500
```

Volume (Å³ per atom): 25.443
Density (kg/m3): 9063

=====

Relative energies with respect to the most stable structure, expressed in meV/atom: <one> 472; <two> 0.

=====

<one>
# TbHo2Ge

A relaxed TbHo2Ge crystal (PBE, Alexandria via LeMat-Bulk).

Geometry as CIF:
```
data_TbHo2Ge
_chemical_formula_sum 'Tb1 Ho2 Ge1'
_cell_length_a 4.657
_cell_length_b 4.657
_cell_length_c 4.657
_cell_angle_alpha 90.00
_cell_angle_beta 90.00
_cell_angle_gamma 90.00
_space_group_name_H-M_alt 'P 4/m m m'
_space_group_IT_number 123
_space_group_name_Hall '-P 4 2'
loop_
_atom_site_label
_atom_site_fract_x
_atom_site_fract_y
_atom_site_fract_z
Tb1 0.000 0.000 0.000
Ho1 0.000 0.500 0.500
Ge1 0.500 0.500 0.000
```

Volume (Å³ per atom): 25.253
Density (kg/m3): 9229

=====

<two>
# TbHo2Ge

A relaxed TbHo2Ge crystal (PBE, Alexandria via LeMat-Bulk).

Geometry as CIF:
```
data_TbHo2Ge
_chemical_formula_sum 'Tb3 Ho6 Ge3'
_cell_length_a 3.5467
_cell_length_b 3.5467
_cell_length_c 32.7471
_cell_angle_alpha 90.00
_cell_angle_beta 90.00
_cell_angle_gamma 120.00
_space_group_name_H-M_alt 'R -3 m'
_space_group_IT_number 166
_space_group_name_Hall '-R 3 2"'
loop_
_atom_site_label
_atom_site_fract_x
_atom_site_fract_y
_atom_site_fract_z
Tb1 0.0000 0.0000 0.0000
Ho1 0.0000 0.0000 0.1046
Ge1 0.0000 0.0000 0.5000
```

Volume (Å³ per atom): 29.729
Density (kg/m3): 7840

=====

Relative energies with respect to the most stable structure, expressed in meV/atom: <one> 0; <two> 290.

=====

<one>
# TbHoZnGe

A relaxed TbHoZnGe crystal (PBE, Alexandria via LeMat-Bulk).

Geometry as CIF:
```
data_TbHoZnGe
_chemical_formula_sum 'Tb4 Ho4 Zn4 Ge4'
_cell_length_a 7.096
_cell_length_b 7.096
_cell_length_c 7.096
_cell_angle_alpha 90.00
_cell_angle_beta 90.00
_cell_angle_gamma 90.00
_space_group_name_H-M_alt 'F -4 3 m'
_space_group_IT_number 216
_space_group_name_Hall 'F -4 2 3'
loop_
_atom_site_label
_atom_site_fract_x
_atom_site_fract_y
_atom_site_fract_z
Tb1 0.000 0.000 0.000
Ho1 0.000 0.000 0.500
Zn1 0.250 0.250 0.250
Ge1 0.250 0.250 0.750
```

Volume (Å³ per atom): 22.329
Density (kg/m3): 8588

=====

<two>
# TbHoZnGe

A relaxed TbHoZnGe crystal (PBE, Alexandria via LeMat-Bulk).

Geometry as CIF:
```
data_TbHoZnGe
_chemical_formula_sum 'Tb2 Ho2 Zn2 Ge2'
_cell_length_a 4.106
_cell_length_b 4.195
_cell_length_c 10.877
_cell_angle_alpha 90.00
_cell_angle_beta 90.00
_cell_angle_gamma 90.00
_space_group_name_H-M_alt 'A m m 2'
_space_group_IT_number 38
loop_
_space_group_symop_operation_xyz
'x,y,z'
'-x,-y,z'
'-x,y,z'
'x,-y,z'
'x,y+1/2,z+1/2'
'-x,-y+1/2,z+1/2'
'-x,y+1/2,z+1/2'
'x,-y+1/2,z+1/2'
loop_
_atom_site_label
_atom_site_fract_x
_atom_site_fract_y
_atom_site_fract_z
Tb1 0.000 0.000 0.000
Ho1 0.500 0.000 0.282
Zn1 0.500 0.000 0.568
Ge1 0.000 0.000 0.719
```

Volume (Å³ per atom): 23.421
Density (kg/m3): 8187

=====

Relative energies with respect to the most stable structure, expressed in meV/atom: <one> 92; <two> 0.

=====

<one>
# HoTcGe2

A relaxed HoTcGe2 crystal (PBE, Alexandria via LeMat-Bulk).

Geometry as CIF:
```
data_HoTcGe2
_chemical_formula_sum 'Ho4 Tc4 Ge8'
_cell_length_a 6.242
_cell_length_b 10.363
_cell_length_c 5.729
_cell_angle_alpha 90.00
_cell_angle_beta 122.30
_cell_angle_gamma 90.00
_space_group_name_H-M_alt 'C 1 2/c 1'
_space_group_IT_number 15
loop_
_space_group_symop_operation_xyz
'x,y,z'
'-x,-y,-z'
'-x,y,-z+1/2'
'x,-y,z+1/2'
'x+1/2,y+1/2,z'
'-x+1/2,-y+1/2,-z'
'-x+1/2,y+1/2,-z+1/2'
'x+1/2,-y+1/2,z+1/2'
loop_
_atom_site_label
_atom_site_fract_x
_atom_site_fract_y
_atom_site_fract_z
Ho1 0.000 0.134 0.250
Tc1 0.000 0.464 0.250
Ge1 0.248 0.362 0.089
```

Volume (Å³ per atom): 19.581
Density (kg/m3): 8654

=====

<two>
# HoTcGe2

A relaxed HoTcGe2 crystal (PBE, Alexandria via LeMat-Bulk).

Geometry as CIF:
```
data_HoTcGe2
_chemical_formula_sum 'Ho3 Tc3 Ge6'
_cell_length_a 4.6968
_cell_length_b 4.6968
_cell_length_c 19.5680
_cell_angle_alpha 90.00
_cell_angle_beta 90.00
_cell_angle_gamma 120.00
_space_group_name_H-M_alt 'R -3 m'
_space_group_IT_number 166
_space_group_name_Hall '-R 3 2"'
loop_
_atom_site_label
_atom_site_fract_x
_atom_site_fract_y
_atom_site_fract_z
Ho1 0.0000 0.0000 0.0000
Tc1 0.0000 0.0000 0.5000
Ge1 0.0000 0.0000 0.3772
```

Volume (Å³ per atom): 31.153
Density (kg/m3): 5440

=====

<three>
# HoTcGe2

A relaxed HoTcGe2 crystal (PBE, Alexandria via LeMat-Bulk).

Geometry as CIF:
```
data_HoTcGe2
_chemical_formula_sum 'Ho4 Tc4 Ge8'
_cell_length_a 6.828
_cell_length_b 4.362
_cell_length_c 10.235
_cell_angle_alpha 90.00
_cell_angle_beta 90.00
_cell_angle_gamma 90.00
_space_group_name_H-M_alt 'P n m a'
_space_group_IT_number 62
loop_
_space_group_symop_operation_xyz
'x,y,z'
'-x,-y,-z'
'-x+1/2,-y,z+1/2'
'x+1/2,y,-z+1/2'
'x+1/2,-y+1/2,-z+1/2'
'-x+1/2,y+1/2,z+1/2'
'-x,y+1/2,-z'
'x,-y+1/2,z'
loop_
_atom_site_label
_atom_site_fract_x
_atom_site_fract_y
_atom_site_fract_z
Ho1 0.234 0.250 0.184
Tc1 0.094 0.250 0.906
Ge1 0.035 0.750 0.327
Ge2 0.238 0.750 0.983
```

Volume (Å³ per atom): 19.054
Density (kg/m3): 8894

=====

Relative energies with respect to the most stable structure, expressed in meV/atom: <one> 0; <two> 1483; <three> 34.